[1]
SrIn2Au2 after structural relaxation. Source: Alexandria via LeMat-Bulk, functional PBEsol.

The calculation puts the total magnetic moment at 0.0 μB per cell. The calculation puts the energy relative to the elements at -0.4728 eV/atom.

The space group is I4/mmm (No. 139) and the conventional cell measures 4.942, 4.942 and 10.211 Å, with angles of 90.00, 90.00 and 90.00 degrees. The asymmetric unit holds Sr at (0.000, 0.000, 0.000), In at (0.000, 0.000, 0.363) and Au at (0.000, 0.500, 0.250).

=====

[2]
SrZnInAu2 after structural relaxation. Source: Alexandria via LeMat-Bulk, functional PBEsol.

The calculation puts the total magnetic moment at 0.0 μB per cell. The calculation puts the energy relative to the elements at -0.0523 eV/atom.

The space group is P4/mmm (No. 123) and the conventional cell measures 5.193, 5.193 and 4.903 Å, with angles of 90.00, 90.00 and 90.00 degrees. The asymmetric unit holds Sr at (0.000, 0.000, 0.000), Zn at (0.500, 0.500, 0.000), In at (0.500, 0.500, 0.500) and Au at (0.000, 0.500, 0.500).

=====

[3]
TaInAu after structural relaxation. Source: Alexandria via LeMat-Bulk, functional PBEsol.

The calculation puts the total magnetic moment at 0.0 μB per cell. The calculation puts the energy relative to the elements at 0.1454 eV/atom.

The space group is P3m1 (No. 156) and the conventional cell measures 4.6194, 4.6194 and 2.9593 Å, with angles of 90.00, 90.00 and 120.00 degrees. The asymmetric unit holds Ta at (0.0000, 0.0000, 0.0000), In at (0.3333, 0.6667, 0.5008) and Au at (0.6667, 0.3333, 0.4982).

=====

[4]
Ta2InAu after structural relaxation. Source: Alexandria via LeMat-Bulk, functional PBEsol.

The calculation puts the total magnetic moment at 0.0 μB per cell. The calculation puts the energy relative to the elements at 0.2063 eV/atom.

The space group is P4/mmm (No. 123) and the conventional cell measures 3.565, 3.565 and 5.681 Å, with angles of 90.00, 90.00 and 90.00 degrees. The asymmetric unit holds Ta at (0.000, 0.000, 0.240), In at (0.500, 0.500, 0.500) and Au at (0.500, 0.500, 0.000).

=====

[5]
Ta2InAu after structural relaxation. Source: Alexandria via LeMat-Bulk, functional PBEsol.

The calculation puts the total magnetic moment at 0.0 μB per cell. The calculation puts the energy relative to the elements at -0.0156 eV/atom.

The space group is P4/mmm (No. 123) and the conventional cell measures 4.016, 4.016 and 4.406 Å, with angles of 90.00, 90.00 and 90.00 degrees. The asymmetric unit holds Ta at (0.000, 0.500, 0.000), In at (0.000, 0.000, 0.500) and Au at (0.500, 0.500, 0.500).

=====

[6]
TbInAu2 after structural relaxation. Source: Alexandria via LeMat-Bulk, functional PBEsol.

The calculation puts the total magnetic moment at 0.0 μB per cell. The calculation puts the energy relative to the elements at -0.7365 eV/atom.

The space group is Fm-3m (No. 225) and the conventional cell measures 6.877, 6.877 and 6.877 Å, with angles of 90.00, 90.00 and 90.00 degrees. The asymmetric unit holds Tb at (0.000, 0.000, 0.000), In at (0.000, 0.000, 0.500) and Au at (0.250, 0.250, 0.250).

=====

Among the records above, which one has the lowest energy relative to the elements?
TbInAu2